Material: AcTb3Sb3
Method: DFT, PBE-GGA
State: relaxed

Summary:
The value obtained for the raw formation energy is -18.852 kcal/mol of atoms. The calculated total energy comes out at -72.18 eV for the cell shown. The calculation puts the density at 8.23 g cm⁻³.

Unit cell a=9.3248 b=9.3248 c=5.7314 alpha=90.00 beta=90.00 gamma=120.00
Last column: nearest neighbours and their distance in Å.
Space group P6_3/m (No. 176)
One atom of each set of equivalent atoms:
Ac 0.3333 0.6667 0.2500  3 Sb 3.34, 3 Tb 3.54
Tb 0.0128 0.2469 0.2500  3 Sb 3.01-3.20
Sb 0.0594 0.4187 0.7500  3 Tb 3.01-3.20, 1 Ac 3.34